1.
AlCu2Ni, single point on PBEsol structure, DFT SCAN; formation energy from the elements = -0.5 eV/f.u.
1.0
2.615 0.000 0.000
1.308 2.265 0.000
1.308 0.755 7.979
Al Cu Ni
1 2 1
direct
0.247 0.247 0.258 Al
0.000 0.000 0.999 Cu
0.751 0.751 0.746 Cu
0.501 0.501 0.497 Ni


2.
YTaCoSi2, single point on PBEsol structure, DFT SCAN; E_form (uncorrected) = 0.525 eV/atom
1.0
4.321 0.000 0.000
0.000 4.321 0.000
0.000 0.000 4.709
Y Si Co Ta
1 2 1 1
direct
0.000 0.000 0.500 Y
0.000 0.500 0.000 Si
0.500 0.000 0.000 Si
0.000 0.000 0.000 Co
0.500 0.500 0.500 Ta


3.
MgCo2Tc, single point on PBEsol structure, DFT SCAN; formation energy from the elements = 1.0 eV/f.u.
1.0
-0.795 -0.667 -2.447
-1.981 -1.742 -0.325
-6.534 5.559 -0.836
Co Mg Tc
2 1 1
direct
0.997 0.997 0.010 Co
0.257 0.257 0.230 Co
0.504 0.504 0.487 Mg
0.742 0.742 0.773 Tc


4.
ZrFe2Tc2, single point on PBEsol structure, DFT SCAN; formation energy from the elements = 0.4 eV/f.u.
1.0
-2.904 -2.359 -0.777
-0.410 -0.724 3.730
-1.520 5.327 -1.091
Tc Zr Fe
2 1 2
direct
0.250 0.750 0.500 Tc
0.750 0.250 0.500 Tc
0.000 0.000 0.000 Zr
0.396 0.396 0.793 Fe
0.604 0.604 0.207 Fe


5.
Cd3Au4, single point on PBEsol structure, DFT SCAN; formation energy from the elements = -1.1 eV/f.u.
1.0
-2.749 1.797 -1.233
-0.734 -2.633 -2.200
-4.304 -3.900 8.900
Au Cd
4 3
direct
0.143 0.143 0.285 Au
0.430 0.430 0.859 Au
0.570 0.570 0.141 Au
0.857 0.857 0.715 Au
0.000 0.000 0.000 Cd
0.290 0.290 0.581 Cd
0.710 0.710 0.419 Cd


6.
The following is a DFT calculation (SCAN) of a PBEsol-optimized structure of Co3SbH.

Cell and atoms, written as POSCAR:
```
Co3SbH
1.0
3.675 0.000 0.000
0.000 3.675 0.000
0.000 0.000 3.675
Sb Co H
1 3 1
direct
0.500 0.500 0.500 Sb
0.000 0.500 0.000 Co
0.000 0.000 0.500 Co
0.500 0.000 0.000 Co
0.000 0.000 0.000 H
```


no.,calculated total energy (eV/f.u.),V (Å³ per cell),total moment (μB per formula unit)
1,-54.797,47.3,0.0
2,-129.137,87.9,0.0
3,-73.626,51.9,3.4
4,-136.693,72.4,0.0
5,-369.014,127.2,0.0
6,-92.062,49.6,1.4